No. 1
Zr2PaTl3S6 | PBE | relaxed

Properties
ΔE_f (raw) ... -1.1774 eV per atom
Fermi-level density of states ... 0.792 states/eV/atom
Density ... 6.80 Mg/m³
Uncorrected energy ... -6.0488 eV/atom

Cell lengths 6.4371, 11.1791, 8.2701 Å; angles 90.00, 90.07, 90.00 degrees
Space group C2/m (No. 12)
Asymmetric unit:
Zr (0.0000, 0.1670, 0.0000)
Pa (0.0000, 0.5000, 0.0000)
Tl (0.0000, 0.1662, 0.5000)
Tl (0.0000, 0.5000, 0.5000)
S (0.1599, 0.0000, 0.1864)
S (0.1699, 0.3299, 0.1867)



No. 2
Co3AgAs | PBE | relaxed

Properties
Formation energy ... 1.67 eV/atom
Fermi-level density of states ... 2.840 states/eV/atom
Density ... 6.07 Mg/m³
Uncorrected energy ... -4.0933 eV/atom

Cell lengths 4.6158, 4.6158, 4.6158 Å; angles 90.00, 90.00, 90.00 degrees
Space group Pm-3m (No. 221)
Asymmetric unit:
Co (0.0000, 0.0000, 0.5000)
Ag (0.0000, 0.0000, 0.0000)
As (0.5000, 0.5000, 0.5000)



No. 3
Cs2BeTlO4 | PBE | relaxed

Properties
ΔE_f (raw) ... -1.1865 eV per atom
Fermi-level density of states ... 0.866 states/eV/atom
Density ... 4.81 Mg/m³
Uncorrected energy ... -4.6406 eV/atom

Cell lengths 5.2954, 12.3456, 22.9451 Å; angles 90.00, 90.00, 90.00 degrees
Space group Fddd (No. 70, origin choice 2)
Asymmetric unit:
Cs (0.1250, 0.1250, 0.3016)
Be (0.1250, 0.1250, 0.6250)
Tl (0.1250, 0.1250, 0.1250)
O (0.0601, 0.2938, 0.8353)



No. 4
Rb2Ba2NbS6 | PBE | relaxed

Properties
ΔE_f (raw) ... -1.2602 eV per atom
Fermi-level density of states ... 1.146 states/eV/atom
Density ... 3.24 Mg/m³
Uncorrected energy ... -4.9525 eV/atom

Cell lengths 7.6516, 12.6548, 8.1438 Å; angles 90.00, 107.99, 90.00 degrees
Space group C2/m (No. 12)
Asymmetric unit:
Rb (0.0000, 0.1702, 0.0000)
Ba (0.0000, 0.3375, 0.5000)
Nb (0.0000, 0.0000, 0.5000)
S (0.1985, 0.1374, 0.6898)
S (0.2008, 0.0000, 0.3094)